w.
Entry from Alexandria via LeMat-Bulk: crystalline RbYZr at its relaxed geometry (GGA-PBE).

Geometry as POSCAR:
```
RbYZr
1.0
12.139 -0.019 -0.006
-1.186 5.244 -0.001
-0.011 -2.758 4.618
Rb Y Zr
2 2 2
direct
0.250 0.351 0.238
0.562 0.890 0.005
0.906 0.454 0.789
0.906 0.120 0.122
0.022 0.865 0.495
0.789 0.709 0.416
```

As for the space-group type: Cm (8). The value obtained for the total magnetization is 0.6 μB/f.u. As for the density of states at the Fermi level: 7.9 states/eV per cell.

x.
Entry from Alexandria via LeMat-Bulk: crystalline RbYZr at its relaxed geometry (GGA-PBE).

Geometry as POSCAR:
```
RbYZr
1.0
-5.034 -12.704 0.595
0.836 0.360 -4.849
3.663 -1.282 3.042
Y Zr Rb
2 2 2
direct
0.030 0.735 0.660
0.781 0.574 0.576
0.906 0.988 0.284
0.906 0.321 0.951
0.555 0.093 0.833
0.256 0.546 0.069
```

As for the space-group type: P1 (1). The value obtained for the total magnetization is 0.0 μB/f.u. As for the density of states at the Fermi level: 9.7 states/eV per cell.

y.
Entry from Alexandria via LeMat-Bulk: crystalline RbYZr at its relaxed geometry (GGA-PBE).

Geometry as POSCAR:
```
RbYZr
1.0
-1.404 4.000 2.038
-3.167 -2.396 2.520
7.811 -1.522 8.369
Rb Zr Y
2 2 2
direct
0.500 0.000 0.136
0.000 0.500 0.864
0.500 0.000 0.696
0.000 0.500 0.304
0.500 0.500 0.500
0.000 0.000 0.500
```

As for the space-group type: P4/nmm (129). The value obtained for the total magnetization is 1.9 μB/f.u. As for the density of states at the Fermi level: 9.0 states/eV per cell.

z.
Entry from Alexandria via LeMat-Bulk: crystalline RbYZr at its relaxed geometry (GGA-PBE).

Geometry as POSCAR:
```
RbYZr
1.0
-6.370 -8.394 -8.422
3.074 -0.750 -1.549
0.633 -4.359 3.318
Rb Zr Y
2 2 2
direct
0.354 0.731 0.770
0.646 0.269 0.230
0.078 0.491 0.811
0.922 0.509 0.189
0.115 0.011 0.316
0.885 0.989 0.684
```

As for the space-group type: P-1 (2). The value obtained for the total magnetization is 0.0 μB/f.u. As for the density of states at the Fermi level: 9.5 states/eV per cell.

Going by the computed energies, the most stable comes first: x, z, w, y.

w.
Entry from Alexandria via LeMat-Bulk: crystalline RbYb3 at its relaxed geometry (GGA-PBE).

Geometry as POSCAR:
```
RbYb3
1.0
6.393 0.000 0.000
3.196 5.536 0.000
3.196 1.845 5.220
Yb Rb
3 1
direct
0.500 0.500 0.500
0.750 0.750 0.750
0.250 0.250 0.250
0.000 0.000 0.000
```

As for the space-group type: Fm-3m (225). The value obtained for the total magnetization is 0.2 μB/f.u. As for the density of states at the Fermi level: 50.6 states/eV per cell.

x.
Entry from Alexandria via LeMat-Bulk: crystalline RbYb3 at its relaxed geometry (GGA-PBE).

Geometry as POSCAR:
```
RbYb3
1.0
-5.225 -0.585 2.160
1.455 -5.056 2.151
1.700 2.531 4.797
Yb Rb
3 1
direct
0.000 0.500 0.000
0.000 0.000 0.500
0.500 0.000 0.000
0.500 0.500 0.500
```

As for the space-group type: Pm-3m (221). The value obtained for the total magnetization is 0.7 μB/f.u. As for the density of states at the Fermi level: 50.3 states/eV per cell.

Going by the computed energies, the most stable comes first: w, x.

w.
Entry from Alexandria via LeMat-Bulk: crystalline RbZrZn at its relaxed geometry (GGA-PBE).

Geometry as POSCAR:
```
RbZrZn
1.0
4.953 -0.010 0.005
-0.079 5.650 -0.004
-0.082 -1.662 7.195
Zr Zn Rb
2 2 2
direct
0.213 0.124 0.995
0.787 0.876 0.005
0.276 0.614 0.949
0.724 0.386 0.051
0.250 0.723 0.424
0.750 0.277 0.576
```

As for the space-group type: P-1 (2). The value obtained for the total magnetization is 0.0 μB/f.u. As for the density of states at the Fermi level: 4.7 states/eV per cell.

x.
Entry from Alexandria via LeMat-Bulk: crystalline RbZrZn at its relaxed geometry (GGA-PBE).

Geometry as POSCAR:
```
RbZrZn
1.0
-3.883 1.606 0.110
-3.704 -3.340 -1.516
-2.246 -5.685 10.482
Zr Zn Rb
2 2 2
direct
0.865 0.769 0.018
0.135 0.231 0.982
0.436 0.637 0.886
0.564 0.363 0.114
0.700 0.129 0.689
0.300 0.871 0.311
```

As for the space-group type: P-1 (2). The value obtained for the total magnetization is 0.0 μB/f.u. As for the density of states at the Fermi level: 4.0 states/eV per cell.

Going by the computed energies, the most stable comes first: x, w.

w.
Entry from Alexandria via LeMat-Bulk: crystalline RbZrZn at its relaxed geometry (GGA-PBE).

Geometry as POSCAR:
```
RbZrZn
1.0
3.400 0.004 0.002
1.695 5.026 -0.002
1.656 1.724 12.553
Zn Rb Zr
2 2 2
direct
0.874 0.452 0.436
0.551 0.048 0.486
0.590 0.574 0.894
0.217 0.955 0.241
0.212 0.621 0.595
0.920 0.142 0.662
```

As for the space-group type: P1 (1). The value obtained for the total magnetization is 0.0 μB/f.u. As for the density of states at the Fermi level: 6.1 states/eV per cell.

x.
Entry from Alexandria via LeMat-Bulk: crystalline RbZrZn at its relaxed geometry (GGA-PBE).

Geometry as POSCAR:
```
RbZrZn
1.0
3.510 0.000 -0.002
0.000 4.528 0.000
-3.355 0.000 26.459
Rb Zr Zn
4 4 4
direct
0.424 0.000 0.432
0.717 0.500 0.264
0.717 0.000 0.764
0.424 0.500 0.932
0.011 0.500 0.551
0.600 0.000 0.144
0.600 0.500 0.644
0.011 0.000 0.051
0.096 0.000 0.639
0.096 0.500 0.139
0.523 0.500 0.064
0.523 0.000 0.564
```

As for the space-group type: Cm (8). The value obtained for the total magnetization is 0.0 μB/f.u. As for the density of states at the Fermi level: 11.7 states/eV per cell.

Going by the computed energies, the most stable comes first: x, w.

w.
Entry from Alexandria via LeMat-Bulk: crystalline RbZr3Zn at its relaxed geometry (GGA-PBE).

Geometry as POSCAR:
```
RbZr3Zn
1.0
-1.191 4.879 -0.233
-1.233 -0.533 -4.845
-4.726 -1.091 1.323
Zr Rb Zn
3 1 1
direct
0.000 0.500 0.000
0.000 0.000 0.500
0.500 0.000 0.000
0.000 0.000 0.000
0.500 0.500 0.500
```

As for the space-group type: Pm-3m (221). The value obtained for the total magnetization is 0.0 μB/f.u. As for the density of states at the Fermi level: 13.7 states/eV per cell.

x.
Entry from Alexandria via LeMat-Bulk: crystalline RbZr3Zn at its relaxed geometry (GGA-PBE).

Geometry as POSCAR:
```
RbZr3Zn
1.0
-0.731 -5.174 0.319
4.641 -0.510 2.368
-2.310 0.614 4.658
Zn Zr Rb
1 3 1
direct
0.000 0.000 0.000
0.000 0.500 0.000
0.500 0.000 0.000
0.000 0.000 0.500
0.500 0.500 0.500
```

As for the space-group type: Pm-3m (221). The value obtained for the total magnetization is 0.0 μB/f.u. As for the density of states at the Fermi level: 6.2 states/eV per cell.

Going by the computed energies, the most stable comes first: x, w.

w.
Entry from Alexandria via LeMat-Bulk: crystalline Rb3Zr at its relaxed geometry (GGA-PBE).

Geometry as POSCAR:
```
Rb3Zr
1.0
-1.870 -3.343 4.880
4.578 -4.058 -1.026
3.745 3.292 3.690
Zr Rb
1 3
direct
0.000 0.000 0.000
0.500 0.500 0.000
0.500 0.000 0.500
0.000 0.500 0.500
```

As for the space-group type: Pm-3m (221). The value obtained for the total magnetization is 3.6 μB/f.u. As for the density of states at the Fermi level: 10.3 states/eV per cell.

x.
Entry from Alexandria via LeMat-Bulk: crystalline Rb3Zr at its relaxed geometry (GGA-PBE).

Geometry as POSCAR:
```
Rb3Zr
1.0
6.911 -0.896 0.000
1.247 6.857 0.000
-4.079 -2.980 4.801
Rb Zr
3 1
direct
0.750 0.250 0.500
0.250 0.750 0.500
0.500 0.500 0.000
0.000 0.000 0.000
```

As for the space-group type: I4/mmm (139). The value obtained for the total magnetization is 3.9 μB/f.u. As for the density of states at the Fermi level: 7.8 states/eV per cell.

Going by the computed energies, the most stable comes first: x, w.

w.
Entry from Alexandria via LeMat-Bulk: crystalline Re3Rh2 at its relaxed geometry (GGA-PBE).

Geometry as POSCAR:
```
Re3Rh2
1.0
-2.933 3.708 6.628
-5.725 3.520 2.169
-0.982 -2.706 4.408
Re Rh
6 4
direct
0.451 0.754 0.455
0.795 0.911 0.799
0.339 0.455 0.754
0.199 0.301 0.301
0.496 0.799 0.911
0.949 0.051 0.051
0.891 0.201 0.538
0.370 0.538 0.201
0.049 0.359 0.880
0.712 0.880 0.359
```

As for the space-group type: Fdd2 (43). The value obtained for the total magnetization is 0.0 μB/f.u. As for the density of states at the Fermi level: 7.2 states/eV per cell.

x.
Entry from Alexandria via LeMat-Bulk: crystalline Re3Rh2 at its relaxed geometry (GGA-PBE).

Geometry as POSCAR:
```
Re3Rh2
1.0
-2.122 -4.111 2.338
1.209 -2.209 4.530
-2.747 -0.248 4.388
Re Rh
3 2
direct
0.184 0.184 0.184
0.000 0.000 0.000
0.816 0.816 0.816
0.617 0.617 0.617
0.383 0.383 0.383
```

As for the space-group type: R-3m (166). The value obtained for the total magnetization is 0.0 μB/f.u. As for the density of states at the Fermi level: 4.6 states/eV per cell.

Going by the computed energies, the most stable comes first: w, x.

w.
Entry from Alexandria via LeMat-Bulk: crystalline Re3Rh2 at its relaxed geometry (GGA-PBE).

Geometry as POSCAR:
```
Re3Rh2
1.0
-1.605 -5.503 4.676
-3.815 -1.728 6.098
0.898 3.043 -6.682
Rh Re
2 3
direct
0.302 0.302 0.000
0.698 0.698 0.000
0.898 0.898 0.000
0.500 0.500 0.000
0.102 0.102 0.000
```

As for the space-group type: I4/mmm (139). The value obtained for the total magnetization is 0.0 μB/f.u. As for the density of states at the Fermi level: 6.2 states/eV per cell.

x.
Entry from Alexandria via LeMat-Bulk: crystalline Re3Rh2 at its relaxed geometry (GGA-PBE).

Geometry as POSCAR:
```
Re3Rh2
1.0
-6.685 -1.892 2.030
-4.415 -5.065 2.690
0.087 0.610 2.632
Rh Re
2 3
direct
0.598 0.598 0.402
0.402 0.402 0.598
0.202 0.202 0.801
0.000 0.000 0.000
0.798 0.798 0.199
```

As for the space-group type: C2/m (12). The value obtained for the total magnetization is 0.0 μB/f.u. As for the density of states at the Fermi level: 4.2 states/eV per cell.

Going by the computed energies, the most stable comes first: x, w.

w.
Entry from Alexandria via LeMat-Bulk: crystalline Re3Rh2 at its relaxed geometry (GGA-PBE).

Geometry as POSCAR:
```
Re3Rh2
1.0
-3.203 0.134 -2.656
-0.406 -1.954 3.654
-1.732 4.712 2.327
Re Rh
3 2
direct
0.667 0.333 0.593
0.000 0.000 0.000
0.333 0.667 0.407
0.333 0.667 0.872
0.667 0.333 0.128
```

As for the space-group type: P-3m1 (164). The value obtained for the total magnetization is 0.0 μB/f.u. As for the density of states at the Fermi level: 5.4 states/eV per cell.

x.
Entry from Alexandria via LeMat-Bulk: crystalline Re3Rh2 at its relaxed geometry (GGA-PBE).

Geometry as POSCAR:
```
Re3Rh2
1.0
-3.490 4.072 4.358
2.943 -6.194 -0.851
2.328 0.976 0.953
Re Rh
3 2
direct
0.395 0.605 0.000
0.000 0.000 0.500
0.605 0.395 0.000
0.196 0.804 0.500
0.804 0.196 0.500
```

As for the space-group type: Cmmm (65). The value obtained for the total magnetization is 0.0 μB/f.u. As for the density of states at the Fermi level: 4.3 states/eV per cell.

Going by the computed energies, the most stable comes first: x, w.

w.
Entry from Alexandria via LeMat-Bulk: crystalline ReRh5 at its relaxed geometry (GGA-PBE).

Geometry as POSCAR:
```
ReRh5
1.0
2.730 0.000 0.000
-1.365 4.637 -1.746
0.000 -0.708 7.154
Rh Re
5 1
direct
0.713 0.425 0.323
0.286 0.571 0.683
0.994 0.989 0.002
0.994 0.988 0.373
0.566 0.132 0.733
0.281 0.562 0.053
```

As for the space-group type: Cm (8). The value obtained for the total magnetization is 0.0 μB/f.u. As for the density of states at the Fermi level: 6.3 states/eV per cell.

x.
Entry from Alexandria via LeMat-Bulk: crystalline ReRh5 at its relaxed geometry (GGA-PBE).

Geometry as POSCAR:
```
ReRh5
1.0
2.494 -4.320 0.000
2.494 4.320 0.000
0.000 0.000 4.383
Rh Re
5 1
direct
0.500 0.000 0.500
0.667 0.333 0.000
0.500 0.500 0.500
0.333 0.667 0.000
0.000 0.500 0.500
0.000 0.000 0.000
```

As for the space-group type: P6/mmm (191). The value obtained for the total magnetization is 1.3 μB/f.u. As for the density of states at the Fermi level: 8.9 states/eV per cell.

Going by the computed energies, the most stable comes first: w, x.

w.
Entry from Alexandria via LeMat-Bulk: crystalline ReRh5 at its relaxed geometry (GGA-PBE).

Geometry as POSCAR:
```
ReRh5
1.0
-1.555 1.541 -2.435
-2.868 -0.557 1.479
0.704 7.071 4.026
Re Rh
1 5
direct
0.000 0.000 0.000
0.500 0.500 0.163
0.500 0.500 0.500
0.500 0.500 0.837
0.000 0.000 0.669
0.000 0.000 0.331
```

As for the space-group type: P4/mmm (123). The value obtained for the total magnetization is 0.0 μB/f.u. As for the density of states at the Fermi level: 8.0 states/eV per cell.

x.
Entry from Alexandria via LeMat-Bulk: crystalline ReRh5 at its relaxed geometry (GGA-PBE).

Geometry as POSCAR:
```
ReRh5
1.0
-0.204 1.816 2.021
-2.670 0.240 -0.485
-2.128 -8.557 7.478
Rh Re
5 1
direct
0.000 0.000 0.337
0.500 0.500 0.500
0.500 0.500 0.837
0.500 0.500 0.163
0.000 0.000 0.663
0.000 0.000 0.000
```

As for the space-group type: P4/mmm (123). The value obtained for the total magnetization is 0.0 μB/f.u. As for the density of states at the Fermi level: 6.8 states/eV per cell.

Going by the computed energies, the most stable comes first: x, w.

w.
Entry from Alexandria via LeMat-Bulk: crystalline ReRh5 at its relaxed geometry (GGA-PBE).

Geometry as POSCAR:
```
ReRh5
1.0
0.000 3.550 3.550
3.550 0.000 3.550
3.550 3.550 0.000
Rh Re
5 1
direct
0.875 0.375 0.375
0.375 0.375 0.875
0.375 0.875 0.375
0.375 0.375 0.375
0.750 0.750 0.750
0.000 0.000 0.000
```

As for the space-group type: F-43m (216). The value obtained for the total magnetization is 0.0 μB/f.u. As for the density of states at the Fermi level: 8.2 states/eV per cell.

x.
Entry from Alexandria via LeMat-Bulk: crystalline ReRh5 at its relaxed geometry (GGA-PBE).

Geometry as POSCAR:
```
ReRh5
1.0
7.231 0.008 0.000
-6.713 2.688 0.000
0.000 0.000 4.388
Rh Re
5 1
direct
0.223 0.777 0.500
0.337 0.663 0.000
0.555 0.445 0.500
0.664 0.336 0.000
0.889 0.111 0.500
0.999 0.001 0.000
```

As for the space-group type: Amm2 (38). The value obtained for the total magnetization is 0.0 μB/f.u. As for the density of states at the Fermi level: 5.8 states/eV per cell.

Going by the computed energies, the most stable comes first: x, w.